4
Lattice="3.185 0.000 0.000 0.000 4.245 0.000 0.000 0.000 5.868" Properties=species:S:1:pos:R:3 comment="GGA-PBE Li2CrPb, relaxed" n_ef_per_ev_fu=1.4 volume_a3_per_cell=79 sg="Pmmm, No. 47" ef_ev_per_atom=0.22 magnetic_moment_mub_per_cell=4.4 energy_ev_per_atom=-4.067 pbc="T T T"
Cr 1.593 2.123 4.401
Li 0.000 0.000 5.841
Li 0.000 0.000 2.961
Pb 1.593 2.123 1.467